Material: K3Na12Pb
Method: DFT, PBE
State: relaxed

Calculated values
**Formation energy from the elements**: -10 meV/atom
**DFT total energy**: -1.437 eV/atom

Structure (POSCAR):
```
K3Na12Pb
1.0
5.7875 0.0000 0.0000
0.0000 5.7875 0.0000
0.0000 0.0000 19.4260
K Na Pb
3 12 1
direct
0.0000 0.0000 0.0000
0.0000 0.0000 0.2828
0.0000 0.0000 0.7172
0.0000 0.5000 0.1401
0.0000 0.5000 0.4100
0.0000 0.5000 0.5900
0.0000 0.5000 0.8599
0.5000 0.0000 0.1401
0.5000 0.0000 0.4100
0.5000 0.0000 0.5900
0.5000 0.0000 0.8599
0.5000 0.5000 0.0000
0.5000 0.5000 0.2692
0.5000 0.5000 0.5000
0.5000 0.5000 0.7308
0.0000 0.0000 0.5000
```